CaLa2FeO6: optimized geometry, PBE with a Hubbard U.

Structure (CIF):
```
data_CaLa2FeO6
_cell_length_a 5.606
_cell_length_b 5.630
_cell_length_c 5.637
_cell_angle_alpha 62.55
_cell_angle_beta 62.75
_cell_angle_gamma 62.71
_space_group_name_H-M_alt 'P 1'
_space_group_IT_number 1
_space_group_name_Hall 'P 1'
loop_
_atom_site_label
_atom_site_type_symbol
_atom_site_fract_x
_atom_site_fract_y
_atom_site_fract_z
Ca1 Ca 0.000 0.000 0.000
La1 La 0.261 0.262 0.260
La2 La 0.739 0.738 0.740
Fe1 Fe 0.500 0.500 0.500
O1 O 0.179 0.711 0.364
O2 O 0.287 0.636 0.822
O3 O 0.365 0.179 0.711
O4 O 0.635 0.821 0.289
O5 O 0.713 0.364 0.178
O6 O 0.821 0.289 0.636
```

Calculated values
magnetic moment	2.0	μB/cell
calculated total energy	-7.3190	eV per atom